A crystal of BeBiSeBr2 relaxed with PBEsol. Source: Alexandria via LeMat-Bulk, functional SCAN.

abc: 5.578 5.579 5.579
angles: 90.00 90.00 90.00
Last column: magnetic moment on the atom in μB.
Element x y z (fractional)
1 Be 0.500 0.500 0.500  0.26
2 Se 0.500 0.000 0.000  0.15
3 Bi 0.000 0.000 0.000  0.03
4 Br 0.000 0.000 0.500  0.01
5 Br 0.000 0.500 0.000  0.01

Summary:
E_form (uncorrected) = 0.487 eV/atom
SG = P4/mmm, No. 123
distance to the lowest polymorph of the same formula = 0.6503 eV per atom
DOS at the Fermi energy = 0.142 states/eV per atom
V = 34.72 Å³/atom